VASP calculation (PBE) on crystalline KScOs2 at its relaxed geometry.

Summary:
Its formation energy is 1.18 eV per atom. As for the energy above the most stable polymorph in this dataset: 66.2 kJ per mole of atoms. The total moment is 0.000 μB per atom.

POSCAR file:
```
KScOs2
1.0
-0.514 4.355 1.974
1.009 -1.448 3.457
3.725 0.783 -0.759
Os K Sc
2 1 1
Direct
0.000 0.500 0.500
0.000 0.000 0.000
0.500 0.000 0.500
0.500 0.500 0.000
```

VASP calculation (PBE) on crystalline K2ScOs at its relaxed geometry.

Summary:
Its formation energy is 1.20 eV per atom. As for the energy above the most stable polymorph in this dataset: 72.0 kJ per mole of atoms. The total moment is 0.068 μB per atom.

POSCAR file:
```
K2ScOs
1.0
12.662 0.010 0.006
12.303 2.995 0.006
12.303 1.481 2.603
Sc K Os
1 2 1
Direct
0.750 0.750 0.750
0.510 0.510 0.510
0.990 0.990 0.990
0.250 0.250 0.250
```

VASP calculation (PBE) on crystalline K2ScOs at its relaxed geometry.

Summary:
Its formation energy is 1.68 eV per atom. As for the energy above the most stable polymorph in this dataset: 119.0 kJ per mole of atoms. The total moment is 0.000 μB per atom.

POSCAR file:
```
K2ScOs
1.0
0.000 3.780 3.780
3.780 0.000 3.780
3.780 3.780 0.000
K Os Sc
2 1 1
Direct
0.250 0.250 0.250
0.750 0.750 0.750
0.500 0.500 0.500
0.000 0.000 0.000
```

VASP calculation (PBE) on crystalline KScOs2 at its relaxed geometry.

Summary:
Its formation energy is 0.71 eV per atom. As for the energy above the most stable polymorph in this dataset: 20.6 kJ per mole of atoms. The total moment is 0.000 μB per atom.

POSCAR file:
```
KScOs2
1.0
2.807 0.000 0.000
0.000 2.807 0.000
0.000 0.000 9.702
Os Sc K
2 1 1
Direct
0.000 0.000 0.461
0.000 0.000 0.039
0.500 0.500 0.250
0.500 0.500 0.750
```

VASP calculation (PBE) on crystalline KScOs2 at its relaxed geometry.

Summary:
Its formation energy is 1.35 eV per atom. As for the energy above the most stable polymorph in this dataset: 81.8 kJ per mole of atoms. The total moment is 0.000 μB per atom.

POSCAR file:
```
KScOs2
1.0
0.000 3.339 3.339
3.339 0.000 3.339
3.339 3.339 0.000
K Os Sc
1 2 1
Direct
0.000 0.000 0.000
0.750 0.750 0.750
0.250 0.250 0.250
0.500 0.500 0.500
```

VASP calculation (PBE) on crystalline KScOs2 at its relaxed geometry.

Summary:
Its formation energy is 0.71 eV per atom. As for the energy above the most stable polymorph in this dataset: 20.2 kJ per mole of atoms. The total moment is 0.114 μB per atom.

POSCAR file:
```
KScOs2
1.0
4.569 0.000 0.000
0.000 2.817 0.041
0.000 0.625 7.153
Sc K Os
1 1 2
Direct
0.500 0.250 0.250
0.500 0.750 0.750
0.000 0.496 0.401
0.000 0.004 0.099
```

VASP calculation (PBE) on crystalline KScOs2 at its relaxed geometry.

Summary:
Its formation energy is 0.78 eV per atom. As for the energy above the most stable polymorph in this dataset: 27.1 kJ per mole of atoms. The total moment is 0.000 μB per atom.

POSCAR file:
```
KScOs2
1.0
10.857 -0.026 -0.015
10.467 2.886 -0.015
10.467 1.404 2.522
Os K Sc
2 1 1
Direct
0.984 0.984 0.984
0.255 0.255 0.255
0.742 0.742 0.742
0.518 0.518 0.518
```

VASP calculation (PBE) on crystalline KScOs2 at its relaxed geometry.

Summary:
Its formation energy is 1.07 eV per atom. As for the energy above the most stable polymorph in this dataset: 55.5 kJ per mole of atoms. The total moment is 0.000 μB per atom.

POSCAR file:
```
KScOs2
1.0
-2.738 0.882 0.815
0.207 -2.841 3.770
1.986 3.693 2.673
K Os Sc
1 2 1
Direct
0.000 0.500 0.500
0.000 0.000 0.000
0.500 0.500 0.000
0.500 0.000 0.500
```

VASP calculation (PBE) on crystalline KScOs2 at its relaxed geometry.

Summary:
Its formation energy is 0.62 eV per atom. As for the energy above the most stable polymorph in this dataset: 11.9 kJ per mole of atoms. The total moment is 0.000 μB per atom.

POSCAR file:
```
KScOs2
1.0
-7.559 5.693 3.250
-9.141 3.509 2.059
-8.137 3.266 4.820
Sc K Os
1 1 2
Direct
0.250 0.250 0.250
0.750 0.750 0.750
0.988 0.988 0.988
0.512 0.512 0.512
```

VASP calculation (PBE) on crystalline K2ScOs at its relaxed geometry.

Summary:
Its formation energy is 1.08 eV per atom. As for the energy above the most stable polymorph in this dataset: 60.9 kJ per mole of atoms. The total moment is 0.000 μB per atom.

POSCAR file:
```
K2ScOs
1.0
4.042 0.000 0.000
0.000 4.042 0.000
2.021 2.021 12.424
K Os Sc
4 2 2
Direct
0.120 0.625 0.250
0.375 0.370 0.750
0.875 0.880 0.750
0.630 0.125 0.250
0.000 0.000 0.000
0.750 0.250 0.500
0.500 0.500 0.000
0.250 0.750 0.500
```

VASP calculation (PBE) on crystalline K2ScOs at its relaxed geometry.

Summary:
Its formation energy is 1.22 eV per atom. As for the energy above the most stable polymorph in this dataset: 74.3 kJ per mole of atoms. The total moment is 0.000 μB per atom.

POSCAR file:
```
K2ScOs
1.0
2.945 0.001 0.000
-1.172 2.702 0.000
0.000 0.000 12.533
Sc K Os
1 2 1
Direct
0.500 0.500 0.750
0.000 0.000 0.469
0.000 0.000 0.031
0.500 0.500 0.250
```

VASP calculation (PBE) on crystalline K2ScOs at its relaxed geometry.

Summary:
Its formation energy is 0.45 eV per atom. As for the energy above the most stable polymorph in this dataset: 0.3 kJ per mole of atoms. The total moment is 0.000 μB per atom.

POSCAR file:
```
K2ScOs
1.0
3.441 0.000 0.000
0.000 3.545 0.004
0.000 3.654 10.760
Sc Os K
1 1 2
Direct
0.500 0.842 0.657
0.000 0.440 0.562
0.000 0.042 0.946
0.500 0.176 0.335
```